Entry from the Alexandria database: a relaxed structure of ThPt2Au8 (GGA-PBE).

## Properties
The value obtained for the total magnetization is 0.0 μB/f.u. The calculation puts the energy of formation at -0.125 eV per atom.

Cell lengths 7.9912, 13.3483, 4.8874 Å; angles 90.00, 122.99, 90.00 degrees
Closest atoms and distances in Å follow each position.
Space group C2/m (No. 12)
One atom of each set of equivalent atoms:
Th1 0.0000 0.0000 0.0000 x2  8 Au 2.93-3.10
Pt1 0.0000 0.3176 0.5000 x4  8 Au 2.76-2.90
Au1 0.0000 0.2217 0.0000 x4  2 Pt 2.76, 4 Au 2.87-2.89, 1 Th 2.96
Au2 0.0874 0.5000 0.8278 x4  4 Au 2.71-2.79, 2 Pt 2.79, 1 Th 2.93
Au3 0.2056 0.1270 0.6335 x8  4 Au 2.79-2.89, 2 Pt 2.86-2.90, 1 Th 3.10

---

Entry from the Alexandria database: a relaxed structure of SrAuBr2 (GGA-PBE).

## Properties
The value obtained for the total magnetization is 0.0 μB/f.u. The uncorrected formation energy is -1100 meV/atom. Its offset from the most stable computed form is 0.0 kJ/mol of atoms.

Cell lengths 5.1936, 5.4873, 5.3675 Å; angles 90.00, 114.31, 90.00 degrees
Closest atoms and distances in Å follow each position.
Space group Pm (No. 6)
One atom of each set of equivalent atoms:
Sr1 0.0000 0.0000 0.0000 x1  5 Br 3.12-3.23, 2 Au 3.20
Au1 0.7929 0.5000 0.6705 x1  2 Br 2.64-2.73
Br1 0.3437 0.0000 0.6399 x1  3 Sr 3.12-3.15
Br2 0.7986 0.5000 0.1810 x1  2 Au 2.64-2.73

---

Entry from the Alexandria database: a relaxed structure of TaSe2Br (GGA-PBE).

## Properties
The value obtained for the total magnetization is 0.0 μB/f.u. The uncorrected formation energy is -85 meV/atom. Its offset from the most stable computed form is 58.2 kJ/mol of atoms.

Cell lengths 3.5290, 3.5290, 7.9731 Å; angles 90.00, 90.00, 90.00 degrees
Closest atoms and distances in Å follow each position.
Space group P4mm (No. 99)
One atom of each set of equivalent atoms:
Ta1 0.0000 0.0000 0.0000 x1  5 Se 2.51-2.75
Se1 0.0000 0.0000 0.6857 x1  1 Ta 2.51
Se2 0.5000 0.5000 0.8538 x1  4 Ta 2.75, 4 Se 2.83, 1 Br 3.08
Br1 0.5000 0.5000 0.2397 x1  1 Se 3.08, 4 Ta 3.14

---

Entry from the Alexandria database: a relaxed structure of NpTiIr2 (GGA-PBE).

## Properties
The value obtained for the total magnetization is 2.8 μB/f.u. Its offset from the most stable computed form is 25.3 kJ/mol of atoms. The calculation puts the energy of formation at -0.308 eV per atom.

Cell lengths 2.8202, 2.8202, 28.5975 Å; angles 90.00, 90.00, 120.00 degrees
Closest atoms and distances in Å follow each position.
Space group R-3m (No. 166, hexagonal axes)
One atom of each set of equivalent atoms:
Np1 0.0000 0.0000 0.0000 x3  6 Np 2.82, 6 Ir 3.11
Ti1 0.0000 0.0000 0.5000 x3  6 Ir 2.67, 6 Ti 2.82
Ir1 0.0000 0.0000 0.2408 x6  3 Ti 2.67, 6 Ir 2.82

---

Entry from the Alexandria database: a relaxed structure of SmSbRhS (GGA-PBE).

## Properties
The value obtained for the total magnetization is 0.0 μB/f.u. The uncorrected formation energy is -1125 meV/atom.

Cell lengths 4.6392, 4.6392, 8.4558 Å; angles 90.00, 90.00, 90.00 degrees
Closest atoms and distances in Å follow each position.
Space group P4/nmm (No. 129, origin choice 2)
One atom of each set of equivalent atoms:
Sm1 0.2500 0.2500 0.1748 x2  4 S 2.75
Sb1 0.2500 0.2500 0.6495 x2  4 Rh 2.64
Rh1 0.2500 0.7500 0.5000 x2  4 Sb 2.64
S1 0.2500 0.7500 0.0000 x2  4 Sm 2.75

---

Entry from the Alexandria database: a relaxed structure of Tb7DyIn4 (GGA-PBE).

## Properties
The value obtained for the total magnetization is 0.0 μB/f.u. The calculation puts the energy of formation at -0.103 eV per atom.

Cell lengths 14.5478, 5.6780, 10.4602 Å; angles 90.00, 123.69, 90.00 degrees
Closest atoms and distances in Å follow each position.
Space group C2/m (No. 12)
One atom of each set of equivalent atoms:
Tb1 0.0000 0.0000 0.0000 x2  2 Dy 2.84, 4 In 2.99-3.13
Tb2 0.0637 0.5000 0.3957 x4  5 In 3.18-3.55, 2 Tb 3.37-3.50
Tb3 0.2094 0.5000 0.8784 x4  4 In 3.37-3.43, 6 Tb 3.37-3.69
Tb4 0.2218 0.0000 0.6631 x4  4 In 3.00-3.16
Dy1 0.0000 0.5000 0.0000 x2  2 Tb 2.84
In1 0.0592 0.0000 0.7543 x4  4 Tb 3.00-3.26, 1 In 3.08
In2 0.1812 0.0000 0.3343 x4  5 Tb 2.99-3.18, 1 In 3.08